Entry 1:
Density functional theory data (PBE) for an optimized crystal structure of NaNiGe.

**M_tot**: 0.00 μB/atom
**Calculated density**: 4.4 g cm⁻³

abc: 4.3575 4.3575 4.3575
angles: 60.00 60.00 60.00
Closest atoms and distances in Å follow each position.
Fractional coordinates of all 3 atoms:
Na 0.0000 0.0000 0.0000  4 Ge 2.67, 4 Ni 2.67
Ni 0.2500 0.2500 0.2500  4 Na 2.67
Ge 0.7500 0.7500 0.7500  4 Na 2.67


Entry 2:
Density functional theory data (PBE) for an optimized crystal structure of NaNiGe.

**M_tot**: 0.00 μB/atom
**Calculated density**: 4.8 g cm⁻³

abc: 4.2297 4.2297 4.2297
angles: 60.00 60.00 60.00
Closest atoms and distances in Å follow each position.
Fractional coordinates of all 3 atoms:
Na 0.0000 0.0000 0.0000  4 Ni 2.59
Ni 0.7500 0.7500 0.7500  4 Ge 2.59, 4 Na 2.59
Ge 0.5000 0.5000 0.5000  4 Ni 2.59


Number 1: electronic total energy -2.99 eV/atom. Number 2: electronic total energy -3.63 eV/atom.